*one*
First-principles (PBE) data for CdHgRh after structural relaxation, as listed in Alexandria.

a = 4.5747 Å, b = 4.5747 Å, c = 3.0799 Å
α = 90.00°, β = 90.00°, γ = 120.00°
With the nearest neighbours (Å) after each atom.
Atoms (fractional coordinates):
Rh 0.6667 0.3333 0.6654  3 Hg 2.84, 3 Cd 2.85, 2 Rh 3.08
Hg 0.3333 0.6667 0.3239  3 Cd 2.81, 3 Rh 2.84, 2 Hg 3.08
Cd 0.0000 0.0000 0.0106  3 Hg 2.81, 3 Rh 2.85, 2 Cd 3.08

Size of the total moment = 0.000 μB per formula unit
Mass density = 12.37 g cm⁻³
SG = P3m1


*two*
First-principles (PBE) data for CdHgRh after structural relaxation, as listed in Alexandria.

a = 4.5451 Å, b = 4.5451 Å, c = 7.7801 Å
α = 73.02°, β = 73.02°, γ = 60.00°
With the nearest neighbours (Å) after each atom.
Atoms (fractional coordinates):
Cd 0.8744 0.8744 0.3767  4 Rh 2.75-2.79
Hg 0.3776 0.3776 0.8672  4 Rh 2.76-2.79
Rh 0.2507 0.2507 0.2480  4 Cd 2.75-2.79, 4 Hg 2.76-2.79
Hg 0.6224 0.6224 0.1328  4 Rh 2.76-2.79
Rh 0.7493 0.7493 0.7520  4 Cd 2.75-2.79, 4 Hg 2.76-2.79
Cd 0.1256 0.1256 0.6233  4 Rh 2.75-2.79

Size of the total moment = 0.000 μB per formula unit
Mass density = 10.54 g cm⁻³
SG = R-3m


Tell me which of them is the most stable. Sure, it is *one*.


*one*
First-principles (PBE) data for Cd4HgRh after structural relaxation, as listed in Alexandria.

a = 5.6092 Å, b = 5.6092 Å, c = 5.6092 Å
α = 60.00°, β = 60.00°, γ = 60.00°
With the nearest neighbours (Å) after each atom.
Atoms (fractional coordinates):
Cd 0.8766 0.3745 0.3745  6 Cd 2.79-2.82
Cd 0.3745 0.3745 0.8766  6 Cd 2.79-2.82
Cd 0.3745 0.3745 0.3745  6 Cd 2.79-2.82
Cd 0.3745 0.8766 0.3745  6 Cd 2.79-2.82
Rh 0.0000 0.0000 0.0000  12 Cd 3.29, 4 Hg 3.43
Hg 0.7500 0.7500 0.7500  12 Cd 3.29, 4 Rh 3.43

Size of the total moment = 0.000 μB per formula unit
Mass density = 10.02 g cm⁻³
SG = F-43m


*two*
First-principles (PBE) data for Cd4HgRh after structural relaxation, as listed in Alexandria.

a = 5.7679 Å, b = 7.2528 Å, c = 7.2528 Å
α = 112.54°, β = 101.57°, γ = 101.57°
With the nearest neighbours (Å) after each atom.
Atoms (fractional coordinates):
Cd 0.9388 0.0769 0.7089  2 Rh 2.74-2.80, 1 Hg 3.00
Hg 0.7500 0.6105 0.3895  10 Cd 2.98-3.33
Rh 0.2500 0.9990 0.0010  8 Cd 2.74-2.83, 2 Rh 2.88
Cd 0.0612 0.9231 0.2911  2 Rh 2.74-2.80, 1 Hg 3.00
Cd 0.1431 0.3801 0.1873  2 Rh 2.82-2.83, 1 Hg 2.98, 2 Cd 3.10-3.12
Hg 0.2500 0.3895 0.6105  10 Cd 2.98-3.33
Cd 0.3569 0.8127 0.6199  2 Rh 2.82-2.83, 1 Hg 2.98, 2 Cd 3.10-3.12
Cd 0.5612 0.2911 0.9231  2 Rh 2.74-2.80, 1 Hg 3.00
Rh 0.7500 0.0010 0.9990  8 Cd 2.74-2.83, 2 Rh 2.88
Cd 0.8569 0.6199 0.8127  2 Rh 2.82-2.83, 1 Hg 2.98, 2 Cd 3.10-3.12
Cd 0.4388 0.7089 0.0769  2 Rh 2.74-2.80, 1 Hg 3.00
Cd 0.6431 0.1873 0.3801  2 Rh 2.82-2.83, 1 Hg 2.98, 2 Cd 3.10-3.12

Size of the total moment = 0.000 μB per formula unit
Mass density = 9.57 g cm⁻³
SG = C2/c


Tell me which of them is the most stable. Sure, it is *two*.


*one*
First-principles (PBE) data for CdHg2Rh2 after structural relaxation, as listed in Alexandria.

a = 4.0538 Å, b = 4.0538 Å, c = 6.9007 Å
α = 72.92°, β = 72.92°, γ = 90.00°
With the nearest neighbours (Å) after each atom.
Atoms (fractional coordinates):
Cd 0.0000 0.0000 0.0000  8 Rh 3.12
Rh 0.5986 0.5986 0.8028  1 Rh 2.48
Hg 0.7500 0.2500 0.5000  4 Rh 2.78, 4 Hg 2.87
Hg 0.2500 0.7500 0.5000  4 Rh 2.78, 4 Hg 2.87
Rh 0.4014 0.4014 0.1972  1 Rh 2.48

Size of the total moment = 0.000 μB per formula unit
Mass density = 11.58 g cm⁻³
SG = I4/mmm


*two*
First-principles (PBE) data for CdHg2Rh2 after structural relaxation, as listed in Alexandria.

a = 7.0125 Å, b = 7.0125 Å, c = 3.9105 Å
α = 90.00°, β = 90.00°, γ = 90.00°
With the nearest neighbours (Å) after each atom.
Atoms (fractional coordinates):
Rh 0.1336 0.3664 0.0000  1 Rh 2.65, 2 Cd 2.73, 6 Hg 2.80-2.87
Hg 0.1647 0.6647 0.5000  6 Rh 2.80-2.87
Cd 0.5000 0.5000 0.0000  4 Rh 2.73
Hg 0.8353 0.3353 0.5000  6 Rh 2.80-2.87
Rh 0.8664 0.6336 0.0000  1 Rh 2.65, 2 Cd 2.73, 6 Hg 2.80-2.87
Cd 0.0000 0.0000 0.0000  4 Rh 2.73
Rh 0.3664 0.8664 0.0000  1 Rh 2.65, 2 Cd 2.73, 6 Hg 2.80-2.87
Hg 0.3353 0.1647 0.5000  6 Rh 2.80-2.87
Rh 0.6336 0.1336 0.0000  1 Rh 2.65, 2 Cd 2.73, 6 Hg 2.80-2.87
Hg 0.6647 0.8353 0.5000  6 Rh 2.80-2.87

Size of the total moment = 0.000 μB per formula unit
Mass density = 12.42 g cm⁻³
SG = P4/mbm


Tell me which of them is the most stable. Sure, it is *two*.


*one*
First-principles (PBE) data for Sr2CdHgRh after structural relaxation, as listed in Alexandria.

a = 5.6892 Å, b = 5.6892 Å, c = 5.2968 Å
α = 90.00°, β = 90.00°, γ = 90.00°
With the nearest neighbours (Å) after each atom.
Atoms (fractional coordinates):
Rh 0.0000 0.0000 0.0000  2 Hg 2.65, 4 Sr 2.84
Cd 0.5000 0.5000 0.5000  8 Sr 3.89, 4 Hg 4.02
Hg 0.0000 0.0000 0.5000  2 Rh 2.65
Sr 0.0000 0.5000 0.0000  2 Rh 2.84
Sr 0.5000 0.0000 0.0000  2 Rh 2.84

Size of the total moment = 0.000 μB per formula unit
Mass density = 5.73 g cm⁻³
SG = P4/mmm


*two*
First-principles (PBE) data for Sr2CdHgRh after structural relaxation, as listed in Alexandria.

a = 5.7072 Å, b = 5.7072 Å, c = 5.2324 Å
α = 90.00°, β = 90.00°, γ = 90.00°
With the nearest neighbours (Å) after each atom.
Atoms (fractional coordinates):
Cd 0.0000 0.0000 0.5000  2 Rh 2.62
Hg 0.5000 0.5000 0.5000  8 Sr 3.87, 4 Cd 4.04
Sr 0.0000 0.5000 0.0000  2 Rh 2.85
Rh 0.0000 0.0000 0.0000  2 Cd 2.62, 4 Sr 2.85
Sr 0.5000 0.0000 0.0000  2 Rh 2.85

Size of the total moment = 0.000 μB per formula unit
Mass density = 5.76 g cm⁻³
SG = P4/mmm


Tell me which of them is the most stable. Sure, it is *two*.


*one*
First-principles (PBE) data for Tl2CdHgRh after structural relaxation, as listed in Alexandria.

a = 5.2883 Å, b = 5.2883 Å, c = 5.3109 Å
α = 90.00°, β = 90.00°, γ = 90.00°
With the nearest neighbours (Å) after each atom.
Atoms (fractional coordinates):
Hg 0.5000 0.5000 0.5000  4 Cd 3.74, 8 Tl 3.75
Cd 0.0000 0.0000 0.5000  2 Rh 2.66
Tl 0.5000 0.0000 0.0000  2 Rh 2.64
Rh 0.0000 0.0000 0.0000  4 Tl 2.64, 2 Cd 2.66
Tl 0.0000 0.5000 0.0000  2 Rh 2.64

Size of the total moment = 0.000 μB per formula unit
Mass density = 9.22 g cm⁻³
SG = P4/mmm


*two*
First-principles (PBE) data for Tl2CdHgRh after structural relaxation, as listed in Alexandria.

a = 5.2984 Å, b = 5.2984 Å, c = 5.3591 Å
α = 90.00°, β = 90.00°, γ = 90.00°
With the nearest neighbours (Å) after each atom.
Atoms (fractional coordinates):
Cd 0.5000 0.5000 0.5000  4 Hg 3.75, 8 Tl 3.77
Rh 0.0000 0.0000 0.0000  4 Tl 2.65, 2 Hg 2.68
Hg 0.0000 0.0000 0.5000  2 Rh 2.68
Tl 0.5000 0.0000 0.0000  2 Rh 2.65
Tl 0.0000 0.5000 0.0000  2 Rh 2.65

Size of the total moment = 0.000 μB per formula unit
Mass density = 9.10 g cm⁻³
SG = P4/mmm


Tell me which of them is the most stable. Sure, it is *one*.


*one*
First-principles (PBE) data for TlCd2HgRh after structural relaxation, as listed in Alexandria.

a = 5.2549 Å, b = 5.2549 Å, c = 5.2650 Å
α = 90.00°, β = 90.00°, γ = 90.00°
With the nearest neighbours (Å) after each atom.
Atoms (fractional coordinates):
Rh 0.0000 0.0000 0.0000  4 Cd 2.63, 2 Tl 2.63
Cd 0.5000 0.0000 0.0000  2 Rh 2.63
Hg 0.5000 0.5000 0.5000  4 Tl 3.72, 8 Cd 3.72
Cd 0.0000 0.5000 0.0000  2 Rh 2.63
Tl 0.0000 0.0000 0.5000  2 Rh 2.63

Size of the total moment = 0.000 μB per formula unit
Mass density = 8.37 g cm⁻³
SG = P4/mmm


*two*
First-principles (PBE) data for TlCd2HgRh after structural relaxation, as listed in Alexandria.

a = 5.5381 Å, b = 5.1675 Å, c = 5.5381 Å
α = 90.00°, β = 90.00°, γ = 90.00°
With the nearest neighbours (Å) after each atom.
Atoms (fractional coordinates):
Cd 0.0000 0.0000 0.5000  2 Tl 2.77
Hg 0.5000 0.5000 0.5000  8 Cd 3.79, 4 Rh 3.92
Cd 0.5000 0.0000 0.0000  2 Tl 2.77
Tl 0.0000 0.0000 0.0000  2 Rh 2.58, 4 Cd 2.77
Rh 0.0000 0.5000 0.0000  2 Tl 2.58

Size of the total moment = 0.704 μB per formula unit
Mass density = 7.68 g cm⁻³
SG = P4/mmm


*three*
First-principles (PBE) data for TlCd2HgRh after structural relaxation, as listed in Alexandria.

a = 5.2115 Å, b = 5.2115 Å, c = 5.2701 Å
α = 90.00°, β = 90.00°, γ = 90.00°
With the nearest neighbours (Å) after each atom.
Atoms (fractional coordinates):
Hg 0.0000 0.0000 0.5000  2 Rh 2.64
Rh 0.0000 0.0000 0.0000  4 Cd 2.61, 2 Hg 2.64
Cd 0.0000 0.5000 0.0000  2 Rh 2.61
Cd 0.5000 0.0000 0.0000  2 Rh 2.61
Tl 0.5000 0.5000 0.5000  4 Hg 3.69, 8 Cd 3.71

Size of the total moment = 0.000 μB per formula unit
Mass density = 8.50 g cm⁻³
SG = P4/mmm


Tell me which of them is the most stable. Sure, it is *one*.